The following is a PBE calculation of a geometry-optimized TePtF structure, from Alexandria via LeMat-Bulk. Values from VASP.

The structure in Quantum ESPRESSO input format:
```
&SYSTEM
  ibrav = 0, nat = 6, ntyp = 3
/
ATOMIC_SPECIES
Te 127.60 Te.upf
Pt 195.08 Pt.upf
F 19.00 F.upf
ATOMIC_POSITIONS crystal
Te 0.000 0.000 0.000
Te 0.500 0.500 0.500
Pt 0.000 0.500 0.833
Pt 0.500 0.000 0.333
F 0.000 0.000 0.701
F 0.500 0.500 0.201
CELL_PARAMETERS angstrom
3.048 0.000 0.000
0.000 3.633 0.000
0.000 0.000 10.513
```

ΔE to the lowest computed polymorph, eV per atom: 0.1941
Formation energy from raw total energies, meV/atom: -698.6
Magnetic moment, μB/f.u.: 0.00
ρ, g/cm³: 9.7